Material: TaAgAs3
Method: DFT, GGA-PBE
State: optimized geometry

Cell: 4.997 4.997 4.997 Å, 90.00 90.00 90.00°
Element x y z (fractional)
As1 0.000 0.500 0.000
As2 0.000 0.000 0.500
As3 0.500 0.000 0.000
Ag1 0.500 0.500 0.500
Ta1 0.000 0.000 0.000

Values from the calculation:
energy above the lowest structure with this stoichiometry	0.0	meV/atom
energy of formation from the pure elements	0.41	eV/atom
DOS at the Fermi energy	3.5	states/eV/cell
total DFT energy (no corrections)	-5.320	eV per atom
calculated volume	125	Å³/cell
magnetization	0.00	Bohr magnetons per cell

Material: Ta2AgAs
Method: DFT, GGA-PBE
State: optimized geometry

Cell: 9.590 9.590 9.590 Å, 17.61 17.61 17.61°
Element x y z (fractional)
Ta1 0.496 0.496 0.496
Ta2 0.004 0.004 0.004
Ag1 0.250 0.250 0.250
As1 0.750 0.750 0.750

Values from the calculation:
energy of formation from the pure elements	0.25	eV/atom
DOS at the Fermi energy	3.7	states/eV/cell
total DFT energy (no corrections)	-7.556	eV per atom
calculated volume	70	Å³/cell
magnetization	0.00	Bohr magnetons per cell

Material: Ta2AgAs
Method: DFT, GGA-PBE
State: optimized geometry

Cell: 4.518 2.841 5.589 Å, 75.22 90.00 90.00°
Element x y z (fractional)
As1 0.500 0.557 0.761
Ta1 0.000 0.946 0.978
Ta2 0.500 0.305 0.267
Ag1 0.000 0.692 0.493

Values from the calculation:
energy of formation from the pure elements	0.17	eV/atom
DOS at the Fermi energy	1.6	states/eV/cell
total DFT energy (no corrections)	-7.634	eV per atom
calculated volume	69	Å³/cell
magnetization	0.00	Bohr magnetons per cell